(1)
Here is a geometry-optimized MgReRh2 structure from Alexandria. Energies are from GGA-PBE.

Computed properties:
- DOS at the Fermi energy (states/eV per atom) = 0.7057
- E_tot (Ha/atom) = -0.2682

Cell and atoms, written as CIF:
```
data_MgReRh2
_symmetry_space_group_name_H-M 'P 1'
_symmetry_Int_Tables_number 1
_cell_length_a 8.926
_cell_length_b 8.926
_cell_length_c 8.926
_cell_angle_alpha 18.14
_cell_angle_beta 18.14
_cell_angle_gamma 18.14
loop_
_symmetry_equiv_pos_as_xyz
'x,y,z'
loop_
_atom_site_label
_atom_site_fract_x
_atom_site_fract_y
_atom_site_fract_z
_atom_site_occupancy
Mg1 0.250 0.250 0.250 1
Rh1 0.002 0.002 0.002 1
Rh2 0.498 0.498 0.498 1
Re1 0.750 0.750 0.750 1
```

---

(2)
Here is a geometry-optimized MgReRh2 structure from Alexandria. Energies are from GGA-PBE.

Computed properties:
- DOS at the Fermi energy (states/eV per atom) = 1.7261
- E_tot (Ha/atom) = -0.2629

Cell and atoms, written as CIF:
```
data_MgReRh2
_symmetry_space_group_name_H-M 'P 1'
_symmetry_Int_Tables_number 1
_cell_length_a 2.742
_cell_length_b 2.742
_cell_length_c 8.026
_cell_angle_alpha 90.00
_cell_angle_beta 90.00
_cell_angle_gamma 90.00
loop_
_symmetry_equiv_pos_as_xyz
'x,y,z'
loop_
_atom_site_label
_atom_site_fract_x
_atom_site_fract_y
_atom_site_fract_z
_atom_site_occupancy
Mg1 0.000 0.000 0.490 1
Rh1 0.500 0.500 0.245 1
Rh2 0.000 0.000 0.998 1
Re1 0.500 0.500 0.767 1
```

---

(3)
Here is a geometry-optimized Mg2ReRh2 structure from Alexandria. Energies are from GGA-PBE.

Computed properties:
- DOS at the Fermi energy (states/eV per atom) = 0.8586
- E_tot (Ha/atom) = -0.2181

Cell and atoms, written as CIF:
```
data_Mg2ReRh2
_symmetry_space_group_name_H-M 'P 1'
_symmetry_Int_Tables_number 1
_cell_length_a 7.232
_cell_length_b 7.232
_cell_length_c 2.950
_cell_angle_alpha 90.00
_cell_angle_beta 90.00
_cell_angle_gamma 90.00
loop_
_symmetry_equiv_pos_as_xyz
'x,y,z'
loop_
_atom_site_label
_atom_site_fract_x
_atom_site_fract_y
_atom_site_fract_z
_atom_site_occupancy
Mg1 0.655 0.845 0.500 1
Mg2 0.345 0.155 0.500 1
Mg3 0.155 0.655 0.500 1
Mg4 0.845 0.345 0.500 1
Rh1 0.355 0.855 0.000 1
Rh2 0.645 0.145 0.000 1
Rh3 0.855 0.645 0.000 1
Rh4 0.145 0.355 0.000 1
Re1 0.000 0.000 0.000 1
Re2 0.500 0.500 0.000 1
```

---

(4)
Here is a geometry-optimized MgReRh2 structure from Alexandria. Energies are from GGA-PBE.

Computed properties:
- DOS at the Fermi energy (states/eV per atom) = 0.7408
- E_tot (Ha/atom) = -0.2660

Cell and atoms, written as CIF:
```
data_MgReRh2
_symmetry_space_group_name_H-M 'P 1'
_symmetry_Int_Tables_number 1
_cell_length_a 2.766
_cell_length_b 4.101
_cell_length_c 5.284
_cell_angle_alpha 90.00
_cell_angle_beta 90.00
_cell_angle_gamma 90.00
loop_
_symmetry_equiv_pos_as_xyz
'x,y,z'
loop_
_atom_site_label
_atom_site_fract_x
_atom_site_fract_y
_atom_site_fract_z
_atom_site_occupancy
Rh1 0.500 0.500 0.281 1
Rh2 0.000 0.000 0.969 1
Re1 0.500 0.500 0.777 1
Mg1 0.000 0.000 0.473 1
```

---

(5)
Here is a geometry-optimized MgRe2Rh structure from Alexandria. Energies are from GGA-PBE.

Computed properties:
- DOS at the Fermi energy (states/eV per atom) = 0.8154
- E_tot (Ha/atom) = -0.3044

Cell and atoms, written as CIF:
```
data_MgRe2Rh
_symmetry_space_group_name_H-M 'P 1'
_symmetry_Int_Tables_number 1
_cell_length_a 5.054
_cell_length_b 5.054
_cell_length_c 2.714
_cell_angle_alpha 90.00
_cell_angle_beta 90.00
_cell_angle_gamma 119.23
loop_
_symmetry_equiv_pos_as_xyz
'x,y,z'
loop_
_atom_site_label
_atom_site_fract_x
_atom_site_fract_y
_atom_site_fract_z
_atom_site_occupancy
Mg1 0.000 0.500 0.500 1
Re1 0.000 0.000 0.000 1
Re2 0.500 0.500 0.000 1
Rh1 0.500 0.000 0.500 1
```

---

(6)
Here is a geometry-optimized MgRe2Rh structure from Alexandria. Energies are from GGA-PBE.

Computed properties:
- DOS at the Fermi energy (states/eV per atom) = 0.7322
- E_tot (Ha/atom) = -0.3054

Cell and atoms, written as CIF:
```
data_MgRe2Rh
_symmetry_space_group_name_H-M 'P 1'
_symmetry_Int_Tables_number 1
_cell_length_a 4.493
_cell_length_b 2.694
_cell_length_c 5.163
_cell_angle_alpha 75.11
_cell_angle_beta 90.00
_cell_angle_gamma 90.00
loop_
_symmetry_equiv_pos_as_xyz
'x,y,z'
loop_
_atom_site_label
_atom_site_fract_x
_atom_site_fract_y
_atom_site_fract_z
_atom_site_occupancy
Re1 0.000 0.006 0.996 1
Re2 0.000 0.494 0.504 1
Mg1 0.500 0.750 0.750 1
Rh1 0.500 0.250 0.250 1
```

---

(7)
Here is a geometry-optimized MgRe2Rh structure from Alexandria. Energies are from GGA-PBE.

Computed properties:
- DOS at the Fermi energy (states/eV per atom) = 0.7366
- E_tot (Ha/atom) = -0.2826

Cell and atoms, written as CIF:
```
data_MgRe2Rh
_symmetry_space_group_name_H-M 'P 1'
_symmetry_Int_Tables_number 1
_cell_length_a 7.520
_cell_length_b 7.520
_cell_length_c 5.863
_cell_angle_alpha 50.11
_cell_angle_beta 50.11
_cell_angle_gamma 90.00
loop_
_symmetry_equiv_pos_as_xyz
'x,y,z'
loop_
_atom_site_label
_atom_site_fract_x
_atom_site_fract_y
_atom_site_fract_z
_atom_site_occupancy
Re1 0.875 0.923 0.750 1
Re2 0.673 0.125 0.250 1
Re3 0.375 0.327 0.750 1
Re4 0.077 0.625 0.250 1
Rh1 0.000 0.000 0.000 1
Rh2 0.750 0.250 0.500 1
Mg1 0.500 0.500 0.000 1
Mg2 0.250 0.750 0.500 1
```

---

(8)
Here is a geometry-optimized MgReRh2 structure from Alexandria. Energies are from GGA-PBE.

Computed properties:
- DOS at the Fermi energy (states/eV per atom) = 1.4035
- E_tot (Ha/atom) = -0.2612

Cell and atoms, written as CIF:
```
data_MgReRh2
_symmetry_space_group_name_H-M 'P 1'
_symmetry_Int_Tables_number 1
_cell_length_a 3.580
_cell_length_b 4.090
_cell_length_c 4.090
_cell_angle_alpha 90.00
_cell_angle_beta 90.00
_cell_angle_gamma 90.00
loop_
_symmetry_equiv_pos_as_xyz
'x,y,z'
loop_
_atom_site_label
_atom_site_fract_x
_atom_site_fract_y
_atom_site_fract_z
_atom_site_occupancy
Rh1 0.000 0.000 0.000 1
Rh2 0.000 0.500 0.500 1
Re1 0.500 0.000 0.500 1
Mg1 0.500 0.500 0.000 1
```

---

(9)
Here is a geometry-optimized MgRe2Rh structure from Alexandria. Energies are from GGA-PBE.

Computed properties:
- DOS at the Fermi energy (states/eV per atom) = 0.6680
- E_tot (Ha/atom) = -0.3100

Cell and atoms, written as CIF:
```
data_MgRe2Rh
_symmetry_space_group_name_H-M 'P 1'
_symmetry_Int_Tables_number 1
_cell_length_a 5.041
_cell_length_b 5.041
_cell_length_c 4.610
_cell_angle_alpha 79.04
_cell_angle_beta 79.04
_cell_angle_gamma 31.99
loop_
_symmetry_equiv_pos_as_xyz
'x,y,z'
loop_
_atom_site_label
_atom_site_fract_x
_atom_site_fract_y
_atom_site_fract_z
_atom_site_occupancy
Rh1 0.750 0.750 0.750 1
Re1 0.014 0.014 0.991 1
Re2 0.486 0.486 0.509 1
Mg1 0.250 0.250 0.250 1
```

---

(10)
Here is a geometry-optimized MgRe2Rh structure from Alexandria. Energies are from GGA-PBE.

Computed properties:
- DOS at the Fermi energy (states/eV per atom) = 0.7108
- E_tot (Ha/atom) = -0.3088

Cell and atoms, written as CIF:
```
data_MgRe2Rh
_symmetry_space_group_name_H-M 'P 1'
_symmetry_Int_Tables_number 1
_cell_length_a 3.975
_cell_length_b 2.768
_cell_length_c 6.078
_cell_angle_alpha 66.70
_cell_angle_beta 90.00
_cell_angle_gamma 90.00
loop_
_symmetry_equiv_pos_as_xyz
'x,y,z'
loop_
_atom_site_label
_atom_site_fract_x
_atom_site_fract_y
_atom_site_fract_z
_atom_site_occupancy
Rh1 0.000 0.477 0.513 1
Re1 0.500 0.195 0.235 1
Re2 0.000 0.037 0.018 1
Mg1 0.500 0.791 0.734 1
```

---

(11)
Here is a geometry-optimized MgReRh2 structure from Alexandria. Energies are from GGA-PBE.

Computed properties:
- DOS at the Fermi energy (states/eV per atom) = 1.5135
- E_tot (Ha/atom) = -0.2485

Cell and atoms, written as CIF:
```
data_MgReRh2
_symmetry_space_group_name_H-M 'P 1'
_symmetry_Int_Tables_number 1
_cell_length_a 7.090
_cell_length_b 7.090
_cell_length_c 5.715
_cell_angle_alpha 51.66
_cell_angle_beta 51.66
_cell_angle_gamma 90.00
loop_
_symmetry_equiv_pos_as_xyz
'x,y,z'
loop_
_atom_site_label
_atom_site_fract_x
_atom_site_fract_y
_atom_site_fract_z
_atom_site_occupancy
Re1 0.750 0.250 0.500 1
Re2 0.000 0.000 0.000 1
Rh1 0.662 0.125 0.250 1
Rh2 0.375 0.338 0.750 1
Rh3 0.088 0.625 0.250 1
Rh4 0.875 0.912 0.750 1
Mg1 0.250 0.750 0.500 1
Mg2 0.500 0.500 0.000 1
```

---

(12)
Here is a geometry-optimized MgRe2Rh structure from Alexandria. Energies are from GGA-PBE.

Computed properties:
- DOS at the Fermi energy (states/eV per atom) = 0.8196
- E_tot (Ha/atom) = -0.3073

Cell and atoms, written as CIF:
```
data_MgRe2Rh
_symmetry_space_group_name_H-M 'P 1'
_symmetry_Int_Tables_number 1
_cell_length_a 4.764
_cell_length_b 4.764
_cell_length_c 4.967
_cell_angle_alpha 80.48
_cell_angle_beta 80.48
_cell_angle_gamma 33.43
loop_
_symmetry_equiv_pos_as_xyz
'x,y,z'
loop_
_atom_site_label
_atom_site_fract_x
_atom_site_fract_y
_atom_site_fract_z
_atom_site_occupancy
Mg1 0.240 0.240 0.285 1
Rh1 0.488 0.488 0.463 1
Re1 0.006 0.006 0.968 1
Re2 0.765 0.765 0.783 1
```

---

Question: The lowest DOS at the Fermi energy belongs to which entry?
Answer: number 9

---

Question: Which of these has the lowest DOS at the Fermi energy?
Answer: number 9